Record 1
Er5Co2Te2 | Alexandria | GGA-PBE | relaxed; DFT total energy = -0.2045 Ha/atom
1.0
-6.414 0.684 -4.253
3.488 -1.063 6.812
0.070 14.764 2.269
Co Er Te
4 10 4
direct
0.820 0.180 0.250
0.412 0.588 0.250
0.588 0.412 0.750
0.180 0.820 0.750
0.607 0.393 0.250
0.962 0.038 0.127
0.259 0.741 0.131
0.038 0.962 0.627
0.393 0.607 0.750
0.962 0.038 0.373
0.741 0.259 0.631
0.038 0.962 0.873
0.259 0.741 0.369
0.741 0.259 0.869
0.382 0.618 0.962
0.382 0.618 0.538
0.618 0.382 0.038
0.618 0.382 0.462


Record 2
Er5CoTe4 | Alexandria | GGA-PBE | relaxed; DFT total energy = -0.1942 Ha/atom
1.0
6.035 0.000 0.000
3.018 6.795 0.000
3.018 0.000 6.795
Te Er Co
4 5 1
direct
0.590 0.600 0.222
0.412 0.400 0.778
0.812 0.778 0.600
0.190 0.222 0.400
0.091 0.661 0.160
0.911 0.339 0.840
0.752 0.160 0.339
0.501 0.000 0.000
0.250 0.840 0.661
0.001 0.000 0.000


Record 3
Er8Co3Te2 | Alexandria | GGA-PBE | relaxed; DFT total energy = -0.1964 Ha/atom
1.0
3.950 0.000 0.000
0.000 11.593 -5.288
0.000 -0.675 8.445
Er Co Te
8 3 2
direct
0.000 0.852 0.809
0.500 0.610 0.823
0.000 0.639 0.199
0.000 0.361 0.801
0.500 0.106 0.800
0.500 0.894 0.200
0.000 0.148 0.191
0.500 0.390 0.177
0.000 0.253 0.985
0.500 0.000 0.000
0.000 0.747 0.015
0.500 0.667 0.497
0.500 0.333 0.503


Record 4
Er5Co2Te | Alexandria | GGA-PBE | relaxed; DFT total energy = -0.2022 Ha/atom
1.0
-4.731 5.365 -2.192
-5.189 -5.181 -1.482
2.625 0.436 8.169
Er Co Te
10 4 2
direct
0.525 0.713 0.737
0.025 0.525 0.737
0.975 0.475 0.263
0.475 0.287 0.263
0.787 0.975 0.263
0.213 0.025 0.737
0.713 0.213 0.737
0.500 0.500 0.000
0.287 0.787 0.263
0.000 0.000 0.000
0.862 0.638 0.000
0.138 0.362 0.000
0.362 0.862 0.000
0.638 0.138 0.000
0.750 0.750 0.500
0.250 0.250 0.500


Record 5
Er4CoTe | Alexandria | GGA-PBE | relaxed; DFT total energy = -0.1864 Ha/atom
1.0
5.163 0.000 0.000
-2.581 10.145 -1.148
0.000 -4.276 8.422
Te Er Co
2 8 2
direct
0.839 0.678 0.720
0.161 0.322 0.280
0.606 0.211 0.683
0.806 0.611 0.005
0.972 0.945 0.645
0.394 0.789 0.317
0.028 0.055 0.355
0.241 0.482 0.674
0.194 0.389 0.995
0.759 0.518 0.326
0.112 0.224 0.675
0.888 0.776 0.325


Record 6
ErCoTe2 | Alexandria | GGA-PBE | relaxed; DFT total energy = -0.1705 Ha/atom
1.0
3.748 0.000 0.000
1.874 3.246 0.000
1.874 1.082 8.846
Te Co Er
2 1 1
direct
0.885 0.885 0.345
0.115 0.115 0.655
0.500 0.500 0.500
0.000 0.000 0.000


Record 7
Er5CoTe2 | Alexandria | GGA-PBE | relaxed; DFT total energy = -0.1813 Ha/atom
1.0
-0.647 4.382 2.230
-7.624 -2.422 -2.966
-2.502 -6.231 11.519
Er Co Te
10 2 4
direct
0.899 0.799 0.885
0.899 0.799 0.615
0.691 0.383 0.578
0.101 0.201 0.115
0.691 0.383 0.922
0.737 0.475 0.250
0.263 0.525 0.750
0.101 0.201 0.385
0.309 0.617 0.422
0.309 0.617 0.078
0.783 0.567 0.750
0.217 0.433 0.250
0.087 0.173 0.885
0.087 0.173 0.615
0.913 0.827 0.385
0.913 0.827 0.115


Record 8
ErThCoTe | Alexandria | GGA-PBE | relaxed; DFT total energy = -0.2309 Ha/atom
1.0
4.052 -0.001 -0.001
-2.026 3.510 0.000
-2.026 -1.169 7.394
Te Th Co Er
1 1 1 1
direct
0.976 0.386 0.376
0.096 0.946 0.058
0.305 0.550 0.870
0.501 0.148 0.665


Record 9
ErTh2Co9 | Alexandria | GGA-PBE | relaxed; DFT formation energy = -0.1821 eV per atom
1.0
4.947 0.000 0.000
2.474 4.284 0.000
2.474 1.428 8.379
Th Co Er
2 9 1
direct
0.863 0.863 0.410
0.137 0.137 0.590
0.577 0.081 0.764
0.333 0.333 0.002
0.081 0.577 0.764
0.500 0.500 0.500
0.667 0.667 0.998
0.919 0.423 0.236
0.423 0.423 0.236
0.577 0.577 0.764
0.423 0.919 0.236
0.000 0.000 0.000


Record 10
ErTh2Co | Alexandria | GGA-PBE | relaxed; DFT formation energy = 0.0008 eV per atom
1.0
3.543 0.000 0.000
0.000 3.543 0.000
0.000 0.000 8.374
Co Th Er
1 2 1
direct
0.500 0.500 0.000
0.000 0.000 0.808
0.000 0.000 0.192
0.500 0.500 0.500


Record 11
ErTh2Co | Alexandria | GGA-PBE | relaxed; DFT formation energy = 0.1422 eV per atom
1.0
3.720 0.000 0.000
1.860 3.221 0.000
1.860 1.074 10.041
Th Er Co
2 1 1
direct
0.887 0.887 0.338
0.113 0.113 0.662
0.000 0.000 0.000
0.500 0.500 0.500


Record 12
ErTh2Co | Alexandria | GGA-PBE | relaxed; DFT formation energy = -0.1796 eV per atom
1.0
6.143 0.000 0.000
0.000 6.964 0.000
0.000 0.000 9.867
Er Th Co
4 8 4
direct
0.660 0.545 0.250
0.160 0.955 0.750
0.840 0.045 0.250
0.340 0.455 0.750
0.830 0.324 0.568
0.670 0.824 0.932
0.670 0.824 0.568
0.830 0.324 0.932
0.170 0.676 0.068
0.170 0.676 0.432
0.330 0.176 0.068
0.330 0.176 0.432
0.888 0.608 0.750
0.112 0.392 0.250
0.612 0.108 0.750
0.388 0.892 0.250